# Nd3Y3In2, relaxed, DFT GGA-PBE
data_Nd3Y3In2
_chemical_formula_sum 'Nd3 Y3 In2'
_cell_length_a 4.916
_cell_length_b 4.991
_cell_length_c 9.759
_cell_angle_alpha 90.00
_cell_angle_beta 90.00
_cell_angle_gamma 90.00
_space_group_name_H-M_alt 'P m m m'
_space_group_IT_number 47
_space_group_name_Hall '-P 2 2'
loop_
_atom_site_label
_atom_site_fract_x
_atom_site_fract_y
_atom_site_fract_z
Nd1 0.000 0.000 0.000
Nd2 0.500 0.000 0.248
Y1 0.000 0.000 0.500
Y2 0.500 0.500 0.000
Y3 0.500 0.500 0.500
In1 0.000 0.500 0.255
# volume = 239.5 Å³/cell
# energy of formation = -26 kJ per mole of atoms
# total magnetic moment = 0.1 μB/f.u.
# E = -5.171 eV/atom
# polymorph energy (0 for the lowest one) = 0.0 kJ/mol of formula units

# AcLa10Pr4, relaxed, DFT GGA-PBE
data_AcLa10Pr4
_chemical_formula_sum 'Ac2 La20 Pr8'
_cell_length_a 12.930
_cell_length_b 12.930
_cell_length_c 7.085
_cell_angle_alpha 90.00
_cell_angle_beta 90.00
_cell_angle_gamma 90.00
_space_group_name_H-M_alt 'I 4/m'
_space_group_IT_number 87
_space_group_name_Hall '-I 4'
loop_
_atom_site_label
_atom_site_fract_x
_atom_site_fract_y
_atom_site_fract_z
Ac1 0.000 0.000 0.000
La1 0.000 0.500 0.250
La2 0.128 0.705 0.246
Pr1 0.068 0.175 0.500
# volume = 1184.5 Å³/cell
# energy of formation = 39 kJ per mole of atoms
# total magnetic moment = 0.0 μB/f.u.
# E = -4.432 eV/atom

# HgBrO2, relaxed, DFT GGA-PBE
data_HgBrO2
_chemical_formula_sum 'Hg4 Br4 O8'
_cell_length_a 4.566
_cell_length_b 4.566
_cell_length_c 13.279
_cell_angle_alpha 90.00
_cell_angle_beta 90.00
_cell_angle_gamma 90.00
_space_group_name_H-M_alt 'I -4 2 d'
_space_group_IT_number 122
_space_group_name_Hall 'I -4 2bw'
loop_
_atom_site_label
_atom_site_fract_x
_atom_site_fract_y
_atom_site_fract_z
Hg1 0.000 0.000 0.000
Br1 0.000 0.000 0.500
O1 0.231 0.250 0.625
# volume = 276.8 Å³/cell
# total magnetic moment = 0.0 μB/f.u.
# E = -2.524 eV/atom
# ΔE_f (raw) = 1.796 eV per formula unit
# polymorph energy (0 for the lowest one) = 174.9 kJ/mol of formula units